Here is an optimized crystal structure of YPaN3 from Alexandria. Energies are from PBE.

Output
Total moment in μB/cell: 0.00
DOS(E_F) in states/eV per atom: 0.505
SG: No. 12
V in Å³ per cell: 145.2
Formation energy (no corrections) in eV per formula unit: -6.67

```
data_YPaN3
_symmetry_space_group_name_H-M 'P 1'
_symmetry_Int_Tables_number 1
_symmetry_space_group_name_Hall 'P 1'
_cell_length_a 6.9146
_cell_length_b 6.9146
_cell_length_c 6.8584
_cell_angle_alpha 117.76
_cell_angle_beta 117.76
_cell_angle_gamma 30.38
loop_
_atom_site_label
_atom_site_type_symbol
_atom_site_fract_x
_atom_site_fract_y
_atom_site_fract_z
Y1 Y 0.1194 0.1194 0.2840
Y2 Y 0.8806 0.8806 0.7160
Pa1 Pa 0.3686 0.3686 0.2330
Pa2 Pa 0.6314 0.6314 0.7670
N1 N 0.0928 0.0928 0.9194
N2 N 0.2294 0.2294 0.7102
N3 N 0.4403 0.4403 0.6033
N4 N 0.5597 0.5597 0.3967
N5 N 0.7706 0.7706 0.2898
N6 N 0.9072 0.9072 0.0806
```

---

Here is an optimized crystal structure of Y3PaN4 from Alexandria. Energies are from PBE.

Output
Total moment in μB/cell: 0.00
DOS(E_F) in states/eV per atom: 0.455
SG: No. 65
V in Å³ per cell: 239.2
Formation energy (no corrections) in eV per formula unit: -13.58

```
data_Y3PaN4
_symmetry_space_group_name_H-M 'P 1'
_symmetry_Int_Tables_number 1
_symmetry_space_group_name_Hall 'P 1'
_cell_length_a 6.9687
_cell_length_b 9.8070
_cell_length_c 3.4993
_cell_angle_alpha 90.00
_cell_angle_beta 90.00
_cell_angle_gamma 90.00
loop_
_atom_site_label
_atom_site_type_symbol
_atom_site_fract_x
_atom_site_fract_y
_atom_site_fract_z
Y1 Y 0.0000 0.0000 0.0000
Y2 Y 0.2500 0.2500 0.5000
Y3 Y 0.2500 0.7500 0.5000
Y4 Y 0.5000 0.5000 0.0000
Y5 Y 0.7500 0.2500 0.5000
Y6 Y 0.7500 0.7500 0.5000
Pa1 Pa 0.0000 0.5000 0.0000
Pa2 Pa 0.5000 0.0000 0.0000
N1 N 0.0000 0.2601 0.0000
N2 N 0.0000 0.7399 0.0000
N3 N 0.2404 0.5000 0.5000
N4 N 0.2596 0.0000 0.5000
N5 N 0.5000 0.2399 0.0000
N6 N 0.5000 0.7601 0.0000
N7 N 0.7404 0.0000 0.5000
N8 N 0.7596 0.5000 0.5000
```

---

Here is an optimized crystal structure of Y4Pa3N8 from Alexandria. Energies are from PBE.

Output
Total moment in μB/cell: 0.00
DOS(E_F) in states/eV per atom: 0.375
SG: No. 12
V in Å³ per cell: 235.2
Formation energy (no corrections) in eV per formula unit: -22.29

```
data_Y4Pa3N8
_symmetry_space_group_name_H-M 'P 1'
_symmetry_Int_Tables_number 1
_symmetry_space_group_name_Hall 'P 1'
_cell_length_a 6.8713
_cell_length_b 6.8713
_cell_length_c 6.9066
_cell_angle_alpha 118.92
_cell_angle_beta 118.92
_cell_angle_gamma 91.41
loop_
_atom_site_label
_atom_site_type_symbol
_atom_site_fract_x
_atom_site_fract_y
_atom_site_fract_z
Y1 Y 0.0000 0.0000 0.0000
Y2 Y 0.0000 0.0000 0.5000
Y3 Y 0.0000 0.5000 0.0000
Y4 Y 0.5000 0.0000 0.0000
Pa1 Pa 0.0000 0.5000 0.5000
Pa2 Pa 0.5000 0.0000 0.5000
Pa3 Pa 0.5000 0.5000 0.0000
N1 N 0.2395 0.7605 0.5000
N2 N 0.2430 0.2430 0.5021
N3 N 0.2490 0.7510 0.0000
N4 N 0.2564 0.2564 0.9737
N5 N 0.7436 0.7436 0.0263
N6 N 0.7510 0.2490 0.0000
N7 N 0.7570 0.7570 0.4979
N8 N 0.7605 0.2395 0.5000
```

---

Here is an optimized crystal structure of YPa2N from Alexandria. Energies are from PBE.

Output
Total moment in μB/cell: 0.00
DOS(E_F) in states/eV per atom: 1.935
SG: No. 166
V in Å³ per cell: 268.3
Formation energy (no corrections) in eV per formula unit: -1.69

```
data_YPa2N
_symmetry_space_group_name_H-M 'P 1'
_symmetry_Int_Tables_number 1
_symmetry_space_group_name_Hall 'P 1'
_cell_length_a 3.2766
_cell_length_b 3.2766
_cell_length_c 28.8520
_cell_angle_alpha 90.00
_cell_angle_beta 90.00
_cell_angle_gamma 120.00
loop_
_atom_site_label
_atom_site_type_symbol
_atom_site_fract_x
_atom_site_fract_y
_atom_site_fract_z
Y1 Y 0.0000 0.0000 0.0000
Y2 Y 0.3333 0.6667 0.6667
Y3 Y 0.6667 0.3333 0.3333
Pa1 Pa 0.0000 0.0000 0.1142
Pa2 Pa 0.0000 0.0000 0.8858
Pa3 Pa 0.3333 0.6667 0.5525
Pa4 Pa 0.3333 0.6667 0.7808
Pa5 Pa 0.6667 0.3333 0.2192
Pa6 Pa 0.6667 0.3333 0.4475
N1 N 0.0000 0.0000 0.5000
N2 N 0.3333 0.6667 0.1667
N3 N 0.6667 0.3333 0.8333
```

---

Here is an optimized crystal structure of YPa5N6 from Alexandria. Energies are from PBE.

Output
Total moment in μB/cell: 0.00
DOS(E_F) in states/eV per atom: 0.629
SG: No. 12
V in Å³ per cell: 181.2
Formation energy (no corrections) in eV per formula unit: -19.67

```
data_YPa5N6
_symmetry_space_group_name_H-M 'P 1'
_symmetry_Int_Tables_number 1
_symmetry_space_group_name_Hall 'P 1'
_cell_length_a 6.0538
_cell_length_b 6.0538
_cell_length_c 6.0540
_cell_angle_alpha 99.59
_cell_angle_beta 99.59
_cell_angle_gamma 119.97
loop_
_atom_site_label
_atom_site_type_symbol
_atom_site_fract_x
_atom_site_fract_y
_atom_site_fract_z
Y1 Y 0.0000 0.0000 0.0000
Pa1 Pa 0.1652 0.8348 0.5000
Pa2 Pa 0.3331 0.6669 0.0000
Pa3 Pa 0.5000 0.5000 0.5000
Pa4 Pa 0.6669 0.3331 0.0000
Pa5 Pa 0.8348 0.1652 0.5000
N1 N 0.0830 0.4179 0.2492
N2 N 0.2518 0.2518 0.7507
N3 N 0.4179 0.0830 0.2492
N4 N 0.5821 0.9170 0.7508
N5 N 0.7482 0.7482 0.2493
N6 N 0.9170 0.5821 0.7508
```

---

Here is an optimized crystal structure of Y2PaN3 from Alexandria. Energies are from PBE.

Output
Total moment in μB/cell: 0.00
DOS(E_F) in states/eV per atom: 0.575
SG: No. 12
V in Å³ per cell: 183.3
Formation energy (no corrections) in eV per formula unit: -7.73

```
data_Y2PaN3
_symmetry_space_group_name_H-M 'P 1'
_symmetry_Int_Tables_number 1
_symmetry_space_group_name_Hall 'P 1'
_cell_length_a 6.8380
_cell_length_b 6.8380
_cell_length_c 8.5457
_cell_angle_alpha 108.78
_cell_angle_beta 108.78
_cell_angle_gamma 29.11
loop_
_atom_site_label
_atom_site_type_symbol
_atom_site_fract_x
_atom_site_fract_y
_atom_site_fract_z
Y1 Y 0.1699 0.1699 0.3372
Y2 Y 0.3282 0.3282 0.1632
Y3 Y 0.6718 0.6718 0.8368
Y4 Y 0.8301 0.8301 0.6628
Pa1 Pa 0.0000 0.0000 0.5000
Pa2 Pa 0.5000 0.5000 0.0000
N1 N 0.0271 0.0271 0.8032
N2 N 0.3165 0.3165 0.8683
N3 N 0.3692 0.3692 0.4757
N4 N 0.6308 0.6308 0.5243
N5 N 0.6835 0.6835 0.1317
N6 N 0.9729 0.9729 0.1968
```